# Sr2PtSe2

An optimized crystal structure of Sr2PtSe2 (GGA-PBE, the Alexandria database).

a b c (Å): 6.0429 6.0429 6.0429
angles (deg): 120.06 120.06 89.90
With the nearest neighbours (Å) after each atom.
Fractional coordinates of all 5 atoms:
Sr 0.2500 0.7500 0.5000  4 Se 3.04
Sr 0.7500 0.2500 0.5000  4 Se 3.04
Pt 0.0000 0.0000 0.0000  2 Se 2.46
Se 0.2877 0.2877 0.0000  1 Pt 2.46
Se 0.7123 0.7123 0.0000  1 Pt 2.46

Output
- raw formation energy (eV per atom) = -1.32
- Fermi-level density of states (states/eV/f.u.) = 0.00
- electronic total energy (hartree per atom) = -0.16891
- polymorph energy (0 for the lowest one) (meV per atom) = 0.0


# CeThCuPt

An optimized crystal structure of CeThCuPt (GGA-PBE, the Alexandria database).

a b c (Å): 5.0579 5.0579 5.0579
angles (deg): 60.00 60.00 60.00
With the nearest neighbours (Å) after each atom.
Fractional coordinates of all 4 atoms:
Ce 0.0000 0.0000 0.0000  4 Cu 3.10, 4 Pt 3.10
Th 0.5000 0.5000 0.5000  4 Pt 3.10, 4 Cu 3.10
Cu 0.2500 0.2500 0.2500  4 Ce 3.10, 4 Th 3.10
Pt 0.7500 0.7500 0.7500  4 Th 3.10, 4 Ce 3.10

Output
- E_form (meV per atom) = -528.0
- Fermi-level density of states (states/eV/f.u.) = 7.56
- electronic total energy (hartree per atom) = -0.23522
- polymorph energy (0 for the lowest one) (meV per atom) = 90.6